This record from the Open Quantum Materials Database describes an optimized crystal structure of TaCoAsAu. The functional is PBE.

Results
Total DFT energy (no corrections) = -6.36 eV/atom
Crystal system = cubic

a = 6.374 Å, b = 6.374 Å, c = 6.374 Å
α = 90.00°, β = 90.00°, γ = 90.00°
Space group F-43m (No. 216)
Asymmetric unit:
Ta 0.000 0.000 0.000 (multiplicity 4)
Co 0.250 0.250 0.750 (multiplicity 4)
As 0.000 0.000 0.500 (multiplicity 4)
Au 0.250 0.250 0.250 (multiplicity 4)

This record from the Open Quantum Materials Database describes an optimized crystal structure of HfZrTe4. The functional is PBE.

Results
Total DFT energy (no corrections) = -5.83 eV/atom
Crystal system = orthorhombic

a = 3.814 Å, b = 16.753 Å, c = 11.670 Å
α = 90.00°, β = 90.00°, γ = 90.00°
Space group Cmc2_1 (No. 36)
Asymmetric unit:
Hf 0.000 0.232 0.000 (multiplicity 4)
Zr 0.000 0.374 0.767 (multiplicity 4)
Te 0.000 0.000 0.233 (multiplicity 4)
Te 0.000 0.136 0.475 (multiplicity 4)
Te 0.000 0.266 0.233 (multiplicity 4)
Te 0.000 0.393 0.506 (multiplicity 4)

This record from the Open Quantum Materials Database describes an optimized crystal structure of LiTbFeTe3. The functional is PBE.

Results
Total DFT energy (no corrections) = -4.79 eV/atom
Crystal system = orthorhombic

a = 4.165 Å, b = 14.233 Å, c = 11.347 Å
α = 90.00°, β = 90.00°, γ = 90.00°
Space group Cmcm (No. 63)
Asymmetric unit:
Li 0.000 0.195 0.250 (multiplicity 4)
Tb 0.000 0.000 0.000 (multiplicity 4)
Fe 0.000 0.474 0.750 (multiplicity 4)
Te 0.000 0.090 0.750 (multiplicity 4)
Te 0.000 0.354 0.575 (multiplicity 8)

This record from the Open Quantum Materials Database describes an optimized crystal structure of MgBeZnGa. The functional is PBE.

Results
Total DFT energy (no corrections) = -2.14 eV/atom
Crystal system = cubic

a = 6.258 Å, b = 6.258 Å, c = 6.258 Å
α = 90.00°, β = 90.00°, γ = 90.00°
Space group F-43m (No. 216)
Asymmetric unit:
Mg 0.000 0.000 0.000 (multiplicity 4)
Be 0.250 0.250 0.750 (multiplicity 4)
Zn 0.000 0.000 0.500 (multiplicity 4)
Ga 0.250 0.250 0.250 (multiplicity 4)

What is the total DFT energy (no corrections) in the fourth record? -2.14 eV/atom